Material: SrLiPmBr6
Method: DFT, GGA-PBE
State: relaxed

Cell: 7.231 7.231 13.466 Å, 90.00 90.00 120.00°
Sites, in units of the cell vectors:
1 Sr 0.000 0.000 0.000
2 Sr 0.000 0.000 0.500
3 Li 0.333 0.667 0.250
4 Li 0.667 0.333 0.750
5 Pm 0.333 0.667 0.750
6 Pm 0.667 0.333 0.250
7 Br 0.010 0.358 0.131
8 Br 0.010 0.652 0.369
9 Br 0.348 0.358 0.369
10 Br 0.348 0.990 0.131
11 Br 0.358 0.010 0.631
12 Br 0.358 0.348 0.869
13 Br 0.642 0.652 0.131
14 Br 0.642 0.990 0.369
15 Br 0.652 0.010 0.869
16 Br 0.652 0.642 0.631
17 Br 0.990 0.348 0.631
18 Br 0.990 0.642 0.869

Calculated values
total moment	0.00	μB/atom
space group	P-31c
V	33.9	A^3/atom
DOS(E_F)	0.0	states/eV per cell
formation energy without anion corrections	-1.864	eV per atom